The following is a DFT calculation (GGA+U) of crystalline CsCo2F6 at its relaxed geometry.

As for the crystal system: trigonal. The total magnetization comes out at 0.78 μB/atom. The calculation puts the energy at -4.683 eV per atom.

Unit cell a=5.411 b=5.411 c=6.463 alpha=90.00 beta=90.00 gamma=120.00
Positions (direct):
Cs 0.000 0.000 0.000
Co 0.333 0.667 0.500
Co 0.667 0.333 0.500
F 0.000 0.395 0.329
F 0.000 0.605 0.671
F 0.395 0.000 0.329
F 0.395 0.395 0.671
F 0.605 0.000 0.671
F 0.605 0.605 0.329